# AlCoO3, relaxed, DFT GGA+U
# DFT total energy (eV/atom): -5.42
# Density of states at the Fermi level (states/eV per atom): 0.307
data_AlCoO3
_space_group_name_H-M_alt 'P m -3 m'
_space_group_IT_number 221
_space_group_name_Hall '-P 4 2 3'
_cell_length_a 3.599
_cell_length_b 3.599
_cell_length_c 3.599
_cell_angle_alpha 90.00
_cell_angle_beta 90.00
_cell_angle_gamma 90.00
loop_
_atom_site_label
_atom_site_type_symbol
_atom_site_fract_x
_atom_site_fract_y
_atom_site_fract_z
_atom_site_occupancy
Al1 Al 0.000 0.000 0.000 1
Co1 Co 0.500 0.500 0.500 1
O1 O 0.000 0.500 0.500 1